This record from Alexandria via LeMat-Bulk describes a crystal of CoP3 relaxed with PBEsol. The functional is SCAN.

Computed properties:
Fermi-level density of states ... 0.412 states/eV/atom
Energy relative to the elements ... 45.3 kJ per mole of atoms

```
data_CoP3
_cell_length_a 2.854
_cell_length_b 2.854
_cell_length_c 6.032
_cell_angle_alpha 90.00
_cell_angle_beta 90.00
_cell_angle_gamma 90.00
_space_group_name_H-M_alt 'P 4/m m m'
_space_group_IT_number 123
_space_group_name_Hall '-P 4 2'
loop_
_atom_site_label
_atom_site_type_symbol
_atom_site_fract_x
_atom_site_fract_y
_atom_site_fract_z
Co1 Co 0.000 0.000 0.000
P1 P 0.000 0.000 0.500
P2 P 0.500 0.500 0.216
```